Entry 1:
A plane-wave DFT calculation with GGA-PBE was carried out for a geometry-optimized LiZn2Pd2 structure.

Calculated values
formation energy: -0.28 eV per atom
energy relative to the lowest polymorph listed for this composition: 0.207 eV per atom

abc: 4.0105 4.0105 6.1633
angles: 71.01 71.01 90.00
Positions (direct):
1 Zn 0.3900 0.3900 0.2201
2 Zn 0.6100 0.6100 0.7799
3 Pd 0.7500 0.2500 0.5000
4 Pd 0.2500 0.7500 0.5000
5 Li 0.0000 0.0000 0.0000

---

Entry 2:
A plane-wave DFT calculation with GGA-PBE was carried out for a geometry-optimized CsBe3Re structure.

Calculated values
formation energy: 3.32 eV per atom
energy relative to the lowest polymorph listed for this composition: 2.148 eV per atom

abc: 4.5555 4.5555 4.5555
angles: 90.00 90.00 90.00
Positions (direct):
1 Cs 0.0000 0.0000 0.0000
2 Re 0.5000 0.5000 0.5000
3 Be 0.0000 0.5000 0.0000
4 Be 0.0000 0.0000 0.5000
5 Be 0.5000 0.0000 0.0000

---

What did we get for DFT total energy? Answer: -16.253; -7.872 eV per formula unit, in the order shown.